Computed, not measured: crystalline TeAsSeN2 at its relaxed geometry at the PBE level of DFT.

Unit cell a=3.840 b=3.840 c=8.140 alpha=90.00 beta=90.00 gamma=90.00
Sites, in units of the cell vectors:
As (0.500, 0.500, 0.500)
Te (0.000, 0.000, 0.500)
Se (0.000, 0.000, 0.000)
N (0.000, 0.500, 0.000)
N (0.500, 0.000, 0.000)

For the energy above the most stable polymorph in this dataset, the calculation gives 323 meV/atom. Its crystal system is tetragonal. As for the space group: P4/mmm, No. 123.

=====

Computed, not measured: crystalline TaIn2Fe at its relaxed geometry at the PBE level of DFT.

Unit cell a=5.563 b=5.563 c=5.563 alpha=147.27 beta=127.29 gamma=63.45
Sites, in units of the cell vectors:
Fe (0.250, 0.750, 0.500)
In (0.022, 0.022, 0.000)
In (0.478, 0.478, 0.000)
Ta (0.750, 0.250, 0.500)

For the energy above the most stable polymorph in this dataset, the calculation gives 273 meV/atom. Its crystal system is orthorhombic. For the calculated formation energy, the calculation gives 0.3761 eV per atom. As for the space group: Immm, No. 71.

=====

Computed, not measured: crystalline NiSe2 at its relaxed geometry at the PBE level of DFT.

Unit cell a=4.759 b=4.759 c=2.704 alpha=90.00 beta=90.00 gamma=120.00
Sites, in units of the cell vectors:
Ni (0.000, 0.000, 0.000)
Se (0.333, 0.667, 0.500)
Se (0.667, 0.333, 0.500)

The calculated total energy comes out at -3.59 eV per atom. Its crystal system is hexagonal. As for the space group: P6/mmm, No. 191.

=====

Computed, not measured: crystalline YScP2S at its relaxed geometry at the PBE level of DFT.

Unit cell a=4.621 b=6.589 c=4.621 alpha=90.00 beta=90.00 gamma=90.00
Sites, in units of the cell vectors:
Y (0.000, 0.500, 0.000)
Sc (0.000, 0.000, 0.000)
S (0.500, 0.500, 0.500)
P (0.000, 0.000, 0.500)
P (0.500, 0.000, 0.000)

For the energy above the most stable polymorph in this dataset, the calculation gives 733 meV/atom. Its crystal system is tetragonal. As for the space group: P4/mmm, No. 123.

=====

- Which formula does entry 2 have?
  TaIn2Fe

=====

Repeat the fourth record exactly.
Computed, not measured: crystalline YScP2S at its relaxed geometry at the PBE level of DFT.

Unit cell a=4.621 b=6.589 c=4.621 alpha=90.00 beta=90.00 gamma=90.00
Sites, in units of the cell vectors:
Y (0.000, 0.500, 0.000)
Sc (0.000, 0.000, 0.000)
S (0.500, 0.500, 0.500)
P (0.000, 0.000, 0.500)
P (0.500, 0.000, 0.000)

For the energy above the most stable polymorph in this dataset, the calculation gives 733 meV/atom. Its crystal system is tetragonal. As for the space group: P4/mmm, No. 123.